# 1
VASP calculation (GGA-PBE) on crystalline Al2TeAs at its relaxed geometry.

Lattice parameters (Å, degrees): 6.865 6.865 6.865 33.26 33.26 33.26
Fractional positions:
As  0.250  0.250  0.250
Te  0.750  0.750  0.750
Al  0.989  0.989  0.989
Al  0.511  0.511  0.511

Calculated values
Final energy in eV/atom: -4.07
Fermi-level density of states in states/eV per atom: 0.131
Total moment in μB per atom: 0.00
Energy relative to the lowest polymorph listed for this composition in meV/atom: 0
Raw formation energy in meV/atom: -249

# 2
VASP calculation (GGA-PBE) on crystalline Cu3Au2 at its relaxed geometry.

Lattice parameters (Å, degrees): 3.838 4.747 4.777 80.04 66.32 66.16
Fractional positions:
Cu  0.800  0.304  0.096
Cu  0.000  0.500  0.500
Cu  0.200  0.696  0.904
Au  0.412  0.878  0.297
Au  0.588  0.122  0.703

Calculated values
Final energy in eV/atom: -3.80
Formation energy from the elements in eV/atom: -0.03
Fermi-level density of states in states/eV per atom: 0.265
Total moment in μB per atom: 0.00
Energy relative to the lowest polymorph listed for this composition in meV/atom: 0

# 3
VASP calculation (GGA-PBE) on crystalline LiPmCO4 at its relaxed geometry.

Lattice parameters (Å, degrees): 5.223 5.999 5.999 79.68 64.20 64.20
Fractional positions:
Li  0.500  0.000  0.500
Li  0.000  0.000  0.500
Pm  0.000  0.000  0.000
Pm  0.000  0.500  0.500
C  0.600  0.650  0.150
C  0.400  0.350  0.850
O  0.690  0.713  0.908
O  0.310  0.592  0.787
O  0.690  0.408  0.213
O  0.310  0.287  0.092
O  0.248  0.773  0.273
O  0.705  0.773  0.273
O  0.295  0.227  0.727
O  0.752  0.227  0.727

Calculated values
Final energy in eV/atom: -6.98
Fermi-level density of states in states/eV per atom: 0.000
Total moment in μB per atom: 0.00
Raw formation energy in meV/atom: -1877